## a
Density functional theory data (PBE) for a geometry-optimized CsKHg2Pt structure.

Computed properties:
* magnetic moment: 0.00 μB per cell
* space group: No. 123

Cell: 5.4971 5.4971 5.9118 Å, 90.00 90.00 90.00°
Atoms (fractional coordinates):
Cs1 0.0000 0.0000 0.0000
K1 0.5000 0.5000 0.0000
Hg1 0.0000 0.5000 0.5000
Hg2 0.5000 0.0000 0.5000
Pt1 0.5000 0.5000 0.5000

***

## b
Density functional theory data (PBE) for a geometry-optimized CsKHg2Pt structure.

Computed properties:
* magnetic moment: 0.00 μB per cell
* space group: No. 123

Cell: 5.4849 5.4849 6.2266 Å, 90.00 90.00 90.00°
Atoms (fractional coordinates):
Cs1 0.0000 0.0000 0.0000
K1 0.5000 0.5000 0.0000
Hg1 0.0000 0.5000 0.5000
Hg2 0.5000 0.0000 0.5000
Pt1 0.0000 0.0000 0.5000

***

Which of them is the most stable? Correct choice: a.

***

## a
Density functional theory data (PBE) for a geometry-optimized CsKRb2Hg structure.

Computed properties:
* magnetic moment: 0.00 μB per cell
* space group: No. 123

Cell: 7.2330 7.2330 7.4464 Å, 90.00 90.00 90.00°
Atoms (fractional coordinates):
Cs1 0.0000 0.0000 0.0000
K1 0.5000 0.5000 0.0000
Rb1 0.0000 0.5000 0.5000
Rb2 0.5000 0.0000 0.5000
Hg1 0.0000 0.0000 0.5000

***

## b
Density functional theory data (PBE) for a geometry-optimized CsKRb2Hg structure.

Computed properties:
* magnetic moment: 0.00 μB per cell
* space group: No. 123

Cell: 8.0647 8.0647 6.6628 Å, 90.00 90.00 90.00°
Atoms (fractional coordinates):
Cs1 0.0000 0.0000 0.0000
K1 0.5000 0.5000 0.5000
Rb1 0.0000 0.5000 0.5000
Rb2 0.5000 0.0000 0.5000
Hg1 0.5000 0.5000 0.0000

***

## c
Density functional theory data (PBE) for a geometry-optimized CsKRb2Hg structure.

Computed properties:
* magnetic moment: 0.00 μB per cell
* space group: No. 123

Cell: 7.2878 7.2878 7.0838 Å, 90.00 90.00 90.00°
Atoms (fractional coordinates):
Cs1 0.0000 0.0000 0.0000
K1 0.5000 0.5000 0.0000
Rb1 0.0000 0.5000 0.5000
Rb2 0.5000 0.0000 0.5000
Hg1 0.5000 0.5000 0.5000

***

Which of them is the most stable? Correct choice: c.

***

## a
Density functional theory data (PBE) for a geometry-optimized CsLi2Hg2 structure.

Computed properties:
* magnetic moment: 0.00 μB per cell
* space group: No. 127

Cell: 8.7354 8.7354 3.6388 Å, 90.00 90.00 90.00°
Atoms (fractional coordinates):
Cs1 0.0000 0.0000 0.0000
Cs2 0.5000 0.5000 0.0000
Li1 0.1246 0.3754 0.0000
Li2 0.3754 0.8754 0.0000
Li3 0.6246 0.1246 0.0000
Li4 0.8754 0.6246 0.0000
Hg1 0.1398 0.6398 0.5000
Hg2 0.3602 0.1398 0.5000
Hg3 0.6398 0.8602 0.5000
Hg4 0.8602 0.3602 0.5000

***

## b
Density functional theory data (PBE) for a geometry-optimized CsLi2Hg2 structure.

Computed properties:
* magnetic moment: 0.00 μB per cell
* space group: No. 139

Cell: 7.2016 7.2016 7.2016 Å, 139.74 139.74 58.25°
Atoms (fractional coordinates):
Cs1 0.0000 0.0000 0.0000
Li1 0.2500 0.7500 0.5000
Li2 0.7500 0.2500 0.5000
Hg1 0.3665 0.3665 0.0000
Hg2 0.6335 0.6335 0.0000

***

Which of them is the most stable? Correct choice: b.